TbDyCd: optimized geometry, PBE.

Polymorph energy (0 for the lowest one) ... 292 meV/atom
E_form ... 97.5 meV/atom
Total energy ... -3.285 eV/atom
Crystal system ... tetragonal

a b c (Å): 5.148 5.151 5.151
angles (deg): 59.92 60.02 60.02
Sites, in units of the cell vectors:
Dy  0.250  0.250  0.250
Tb  0.750  0.750  0.750
Cd  0.000  0.000  0.000